Entry 1:
First-principles (PBE) data for crystalline AlAg2Au6 at its relaxed geometry, as listed in the Alexandria database.

The electronic total energy comes out at -3.344 eV per atom. As for the energy relative to the elements: -0.109 eV per atom. Its crystal system is tetragonal. The calculation puts the volume at 17.65 A^3/atom. As for the total moment: 0.000 Bohr magnetons per cell.

The structure belongs to space group P4_2/mnm (No. 136); the cell edges are 8.5515, 8.5515 and 4.3444 Å and the angles 90.00°, 90.00° and 90.00°. Symmetry generates all atoms from Al at (0.0000, 0.0000, 0.0000), Ag at (0.1924, 0.1924, 0.5000), Au at (0.0213, 0.3258, 0.0000) and Au at (0.1355, 0.8645, 0.5000).


Entry 2:
First-principles (PBE) data for crystalline Na3OsO at its relaxed geometry, as listed in the Alexandria database.

The electronic total energy comes out at -2.651 eV per atom. Its crystal system is cubic. The uncorrected formation energy comes out at 6.89 eV per formula unit. The calculation puts the volume at 35.35 A^3/atom. As for the total moment: 3.000 Bohr magnetons per cell.

The structure belongs to space group Pm-3m (No. 221); the cell edges are 5.6118, 5.6118 and 5.6118 Å and the angles 90.00°, 90.00° and 90.00°. Symmetry generates all atoms from Na at (0.0000, 0.0000, 0.5000), Os at (0.0000, 0.0000, 0.0000) and O at (0.5000, 0.5000, 0.5000).


Entry 3:
First-principles (PBE) data for crystalline LiPm2Ge3 at its relaxed geometry, as listed in the Alexandria database.

The electronic total energy comes out at -4.925 eV per atom. As for the energy relative to the elements: -0.713 eV per atom. Its crystal system is orthorhombic. The calculation puts the volume at 21.51 A^3/atom. As for the total moment: 0.000 Bohr magnetons per cell.

The structure belongs to space group Fmmm (No. 69); the cell edges are 8.2839, 8.5074 and 14.6522 Å and the angles 90.00°, 90.00° and 90.00°. Symmetry generates all atoms from Li at (0.0000, 0.0000, 0.1664), Pm at (0.2392, 0.0000, 0.5000), Pm at (0.2500, 0.2500, 0.2500), Ge at (0.0000, 0.0000, 0.3302) and Ge at (0.0000, 0.2398, 0.0851).


Entry 4:
First-principles (PBE) data for crystalline Pm3Th5 at its relaxed geometry, as listed in the Alexandria database.

The electronic total energy comes out at -6.305 eV per atom. As for the energy relative to the elements: 0.114 eV per atom. Its crystal system is orthorhombic. The calculation puts the volume at 33.00 A^3/atom. As for the total moment: 0.000 Bohr magnetons per cell.

The structure belongs to space group Cmmm (No. 65); the cell edges are 3.6066, 6.0281 and 24.2844 Å and the angles 90.00°, 90.00° and 90.00°. Symmetry generates all atoms from Pm at (0.0000, 0.0000, 0.0000), Pm at (0.0000, 0.5000, 0.1273), Th at (0.0000, 0.0000, 0.2536), Th at (0.0000, 0.0000, 0.5000) and Th at (0.0000, 0.5000, 0.3758).


Entry 5:
First-principles (PBE) data for crystalline Hf7Sb2H2Pb at its relaxed geometry, as listed in the Alexandria database.

The electronic total energy comes out at -7.674 eV per atom. Its crystal system is monoclinic. The calculation puts the volume at 18.72 A^3/atom. As for the total moment: 0.000 Bohr magnetons per cell.

The structure belongs to space group C2/m (No. 12); the cell edges are 6.0200, 6.0105 and 12.6735 Å and the angles 90.00°, 101.61° and 90.00°. Symmetry generates all atoms from Hf at (0.0000, 0.0000, 0.0000), Hf at (0.1668, 0.0000, 0.4015), Hf at (0.1666, 0.2493, 0.8054), Sb at (0.1577, 0.5000, 0.3667), H at (0.0726, 0.0000, 0.1673) and Pb at (0.0000, 0.5000, 0.0000).


Entry 6:
First-principles (PBE) data for crystalline TbPr2Mg6 at its relaxed geometry, as listed in the Alexandria database.

The electronic total energy comes out at -2.734 eV per atom. As for the energy relative to the elements: -0.094 eV per atom. Its crystal system is hexagonal. The calculation puts the volume at 27.24 A^3/atom. As for the total moment: 0.000 Bohr magnetons per cell.

The structure belongs to space group P6/mmm (No. 191); the cell edges are 9.1980, 9.1980 and 3.3465 Å and the angles 90.00°, 90.00° and 120.00°. Symmetry generates all atoms from Tb at (0.0000, 0.0000, 0.0000), Pr at (0.3333, 0.6667, 0.0000) and Mg at (0.0000, 0.3300, 0.5000).


Entry 7:
First-principles (PBE) data for crystalline CaThSb2Rh5 at its relaxed geometry, as listed in the Alexandria database.

The electronic total energy comes out at -6.476 eV per atom. Its crystal system is tetragonal. The uncorrected formation energy comes out at -3.86 eV per formula unit. The calculation puts the volume at 19.87 A^3/atom. As for the total moment: 0.000 Bohr magnetons per cell.

The structure belongs to space group P4/mmm (No. 123); the cell edges are 4.5635, 4.5635 and 8.5873 Å and the angles 90.00°, 90.00° and 90.00°. Symmetry generates all atoms from Ca at (0.0000, 0.0000, 0.0000), Th at (0.0000, 0.0000, 0.5000), Sb at (0.5000, 0.5000, 0.3351), Rh at (0.0000, 0.5000, 0.2136) and Rh at (0.5000, 0.5000, 0.0000).


Entry 8:
First-principles (PBE) data for crystalline RbLa2Ru2 at its relaxed geometry, as listed in the Alexandria database.

The electronic total energy comes out at -5.605 eV per atom. As for the energy relative to the elements: 0.270 eV per atom. Its crystal system is tetragonal. The calculation puts the volume at 26.76 A^3/atom. As for the total moment: 0.882 Bohr magnetons per cell.

The structure belongs to space group P4/mbm (No. 127); the cell edges are 8.7369, 8.7369 and 3.5051 Å and the angles 90.00°, 90.00° and 90.00°. Symmetry generates all atoms from Rb at (0.0000, 0.0000, 0.0000), La at (0.1403, 0.3597, 0.5000) and Ru at (0.1257, 0.6257, 0.0000).


Entry 9:
First-principles (PBE) data for crystalline CaUN2 at its relaxed geometry, as listed in the Alexandria database.

The electronic total energy comes out at -8.601 eV per atom. Its crystal system is trigonal. The uncorrected formation energy comes out at -4.46 eV per formula unit. The calculation puts the volume at 15.46 A^3/atom. As for the total moment: 6.071 Bohr magnetons per cell.

The structure belongs to space group R3m (No. 160, hexagonal axes); the cell edges are 3.4678, 3.4678 and 17.8166 Å and the angles 90.00°, 90.00° and 120.00°. Symmetry generates all atoms from Ca at (0.0000, 0.0000, 0.0000), U at (0.0000, 0.0000, 0.8261), N at (0.0000, 0.0000, 0.2292) and N at (0.0000, 0.0000, 0.4216).


Entry 10:
First-principles (PBE) data for crystalline Tb2Zn17 at its relaxed geometry, as listed in the Alexandria database.

The electronic total energy comes out at -1.863 eV per atom. As for the energy relative to the elements: -0.235 eV per atom. Its crystal system is hexagonal. The calculation puts the volume at 16.11 A^3/atom. As for the total moment: 0.000 Bohr magnetons per cell.

The structure belongs to space group P6_3/mmc (No. 194); the cell edges are 8.9717, 8.9717 and 8.7822 Å and the angles 90.00°, 90.00° and 120.00°. Symmetry generates all atoms from Tb at (0.0000, 0.0000, 0.2500), Tb at (0.3333, 0.6667, 0.2500), Zn at (0.0000, 0.5000, 0.0000), Zn at (0.0382, 0.3675, 0.7500), Zn at (0.1616, 0.3233, 0.0212) and Zn at (0.3333, 0.6667, 0.6005).


Entry 11:
First-principles (PBE) data for crystalline Ca2FeHg at its relaxed geometry, as listed in the Alexandria database.

The electronic total energy comes out at -2.911 eV per atom. As for the energy relative to the elements: 0.281 eV per atom. Its crystal system is trigonal. The calculation puts the volume at 27.25 A^3/atom. As for the total moment: 7.231 Bohr magnetons per cell.

The structure belongs to space group R-3m (No. 166, hexagonal axes); the cell edges are 3.7217, 3.7217 and 27.2558 Å and the angles 90.00°, 90.00° and 120.00°. Symmetry generates all atoms from Ca at (0.0000, 0.0000, 0.2441), Fe at (0.0000, 0.0000, 0.5000) and Hg at (0.0000, 0.0000, 0.0000).


Entry 12:
First-principles (PBE) data for crystalline Pm5Y2Sc at its relaxed geometry, as listed in the Alexandria database.

The electronic total energy comes out at -5.252 eV per atom. As for the energy relative to the elements: 0.124 eV per atom. Its crystal system is orthorhombic. The calculation puts the volume at 33.33 A^3/atom. As for the total moment: 0.000 Bohr magnetons per cell.

The structure belongs to space group Cmcm (No. 63); the cell edges are 5.5815, 11.8714 and 16.0970 Å and the angles 90.00°, 90.00° and 90.00°. Symmetry generates all atoms from Pm at (0.0000, 0.0287, 0.2500), Pm at (0.0000, 0.1139, 0.5544), Pm at (0.0000, 0.4187, 0.5912), Y at (0.0000, 0.2744, 0.1364) and Sc at (0.0000, 0.2479, 0.7500).


- Look up the electronic total energy of the eighth one.
  -5.605 eV per atom